Entry from Alexandria: NaMnGaCl2 after structural relaxation (PBE).

Cell: 4.995 4.995 5.504 Å, 90.00 90.00 90.00°
Space group P4/mmm (No. 123)
Inequivalent atoms, fractional coordinates:
Na  0.000  0.000  0.000 (multiplicity 1)
Mn  0.000  0.000  0.500 (multiplicity 1)
Ga  0.500  0.500  0.500 (multiplicity 1)
Cl  0.000  0.500  0.000 (multiplicity 2)

As for the uncorrected formation energy: -5 kJ/mol of formula units. For the volume, the calculation gives 27.47 Å³ per atom. The calculation puts the calculated total energy at -3.45 eV/atom. The crystal system is tetragonal.

***

Entry from Alexandria: SnBI2O after structural relaxation (PBE).

Cell: 6.060 6.060 4.019 Å, 90.00 90.00 90.00°
Space group P4/mmm (No. 123)
Inequivalent atoms, fractional coordinates:
Sn  0.000  0.000  0.000 (multiplicity 1)
B  0.500  0.500  0.500 (multiplicity 1)
I  0.000  0.500  0.000 (multiplicity 2)
O  0.000  0.000  0.500 (multiplicity 1)

As for the uncorrected formation energy: 279 kJ/mol of formula units. For the volume, the calculation gives 29.52 Å³ per atom. The calculation puts the calculated total energy at -3.17 eV/atom. Its polymorph energy (0 for the lowest one) is 0.518 eV per atom. The crystal system is tetragonal.

***

Entry from Alexandria: Be2TlP after structural relaxation (PBE).

Cell: 3.466 3.466 10.895 Å, 90.00 90.00 90.00°
Space group I-4m2 (No. 119)
Inequivalent atoms, fractional coordinates:
Be  0.000  0.000  0.000 (multiplicity 2)
Be  0.000  0.500  0.250 (multiplicity 2)
Tl  0.000  0.000  0.500 (multiplicity 2)
P  0.000  0.500  0.750 (multiplicity 2)

For the volume, the calculation gives 16.36 Å³ per atom. The calculation puts the calculated total energy at -3.06 eV/atom. Its polymorph energy (0 for the lowest one) is 0.563 eV per atom. The crystal system is tetragonal. The value obtained for the formation energy is 17.2 kcal/mol of atoms.